Here is a geometry-optimized SrFe2O5 structure from Alexandria via LeMat-Bulk. Energies are from PBE+U.

Computed properties:
Space-group type = I4/mmm
Theoretical density = 4.4 Mg/m³
Energy = -48.88 eV per cell
Crystal system = tetragonal

abc: 3.7814 3.7814 7.8880
angles: 103.87 103.87 90.00
With the nearest neighbours (Å) after each atom.
Fractional positions:
Sr (0.5000, 0.5000, 0.0000)  12 O 2.67-2.79
Fe (0.1337, 0.1337, 0.2675)  5 O 1.89-1.98
Fe (0.8663, 0.8663, 0.7325)  5 O 1.89-1.98
O (0.1384, 0.6384, 0.2769)  2 Fe 1.89
O (0.6384, 0.1384, 0.2769)  2 Fe 1.89
O (0.3616, 0.8616, 0.7231)  2 Fe 1.89
O (0.8616, 0.3616, 0.7231)  2 Fe 1.89
O (0.0000, 0.0000, 0.0000)  2 Fe 1.98